# PBE Tl12Sn3Bi, optimized geometry
data_Tl12Sn3Bi
_symmetry_space_group_name_H-M 'P 4/m m m'
_symmetry_Int_Tables_number 123
_symmetry_space_group_name_Hall '-P 4 2'
_cell_length_a 5.158
_cell_length_b 5.158
_cell_length_c 18.195
_cell_angle_alpha 90.00
_cell_angle_beta 90.00
_cell_angle_gamma 90.00
loop_
_atom_site_label
_atom_site_fract_x
_atom_site_fract_y
_atom_site_fract_z
Tl1 0.000 0.000 0.000
Tl2 0.000 0.000 0.248
Tl3 0.000 0.000 0.500
Tl4 0.000 0.500 0.123
Tl5 0.000 0.500 0.371
Sn1 0.500 0.500 0.000
Sn2 0.500 0.500 0.242
Bi1 0.500 0.500 0.500
# **DFT total energy**: -43.978 eV/cell
# **N(E_F)**: 6.0 states/eV/cell